Crystalline Ac4Zn3Pt at its relaxed geometry, computed with PBE.

The structure in POSCAR format:
```
Ac4Zn3Pt
1.0
4.227 0.000 0.000
0.000 4.781 0.000
0.000 0.000 11.809
Ac Zn Pt
4 3 1
direct
0.500 0.500 0.347
0.000 0.500 0.870
0.000 0.000 0.141
0.500 0.000 0.646
0.000 0.500 0.565
0.000 0.000 0.430
0.500 0.000 0.930
0.500 0.500 0.072
```

Energy of formation: -0.455 eV per atom